Computed, not measured: a geometry-optimized Ac8Tb2Nd3 structure at the PBE level of DFT.

```
data_Ac8Tb2Nd3
_chemical_formula_sum 'Ac16 Tb4 Nd6'
_symmetry_space_group_name_H-M 'C 1 2/m 1'
_symmetry_Int_Tables_number 12
_cell_length_a 15.7935
_cell_length_b 9.9060
_cell_length_c 7.2651
_cell_angle_alpha 90.00
_cell_angle_beta 99.56
_cell_angle_gamma 90.00
loop_
_symmetry_equiv_pos_as_xyz
'x,y,z'
'-x,-y,-z'
'-x,y,-z'
'x,-y,z'
'x+1/2,y+1/2,z'
'-x+1/2,-y+1/2,-z'
'-x+1/2,y+1/2,-z'
'x+1/2,-y+1/2,z'
loop_
_atom_site_label
_atom_site_type_symbol
_atom_site_fract_x
_atom_site_fract_y
_atom_site_fract_z
_atom_site_occupancy
Ac1 Ac 0.0885 0.0000 0.3726 1
Ac2 Ac 0.1198 0.1857 0.9279 1
Ac3 Ac 0.1982 0.5000 0.3166 1
Tb1 Tb 0.1930 0.5000 0.7979 1
Nd1 Nd 0.0000 0.3386 0.5000 1
Nd2 Nd 0.0000 0.5000 0.0000 1
```

Values from the calculation:
* total moment: 0.00 μB/cell
* ΔE_f: 0.23 eV per atom
* Fermi-level density of states: 1.54 states/eV/atom


Computed, not measured: a geometry-optimized Ac2TbNd8 structure at the PBE level of DFT.

```
data_Ac2TbNd8
_chemical_formula_sum 'Ac4 Tb2 Nd16'
_symmetry_space_group_name_H-M 'C 1 2/m 1'
_symmetry_Int_Tables_number 12
_cell_length_a 20.1257
_cell_length_b 7.1815
_cell_length_c 5.7878
_cell_angle_alpha 90.00
_cell_angle_beta 93.46
_cell_angle_gamma 90.00
loop_
_symmetry_equiv_pos_as_xyz
'x,y,z'
'-x,-y,-z'
'-x,y,-z'
'x,-y,z'
'x+1/2,y+1/2,z'
'-x+1/2,-y+1/2,-z'
'-x+1/2,y+1/2,-z'
'x+1/2,-y+1/2,z'
loop_
_atom_site_label
_atom_site_type_symbol
_atom_site_fract_x
_atom_site_fract_y
_atom_site_fract_z
_atom_site_occupancy
Ac1 Ac 0.2189 0.0000 0.2573 1
Tb1 Tb 0.0000 0.5000 0.0000 1
Nd1 Nd 0.0444 0.0000 0.2346 1
Nd2 Nd 0.1221 0.2367 0.7318 1
Nd3 Nd 0.1759 0.5000 0.2243 1
```

Values from the calculation:
* total moment: 0.00 μB/cell
* ΔE_f: 0.19 eV per atom
* Fermi-level density of states: 1.52 states/eV/atom
* offset from the most stable computed form: 28 kJ/mol of formula units


Computed, not measured: a geometry-optimized Ac3Tb3Nd2 structure at the PBE level of DFT.

```
data_Ac3Tb3Nd2
_chemical_formula_sum 'Ac6 Tb6 Nd4'
_symmetry_space_group_name_H-M 'P 63/m c m'
_symmetry_Int_Tables_number 193
_symmetry_space_group_name_Hall '-P 6c 2'
_cell_length_a 10.1771
_cell_length_b 10.1771
_cell_length_c 6.8192
_cell_angle_alpha 90.00
_cell_angle_beta 90.00
_cell_angle_gamma 120.00
loop_
_atom_site_label
_atom_site_type_symbol
_atom_site_fract_x
_atom_site_fract_y
_atom_site_fract_z
_atom_site_occupancy
Ac1 Ac 0.0000 0.2332 0.2500 1
Tb1 Tb 0.0000 0.4135 0.7500 1
Nd1 Nd 0.3333 0.6667 0.0000 1
```

Values from the calculation:
* total moment: 0.00 μB/cell
* ΔE_f: 0.18 eV per atom
* Fermi-level density of states: 1.99 states/eV/atom